Here is a relaxed structure of Tl2SnAs from Alexandria via LeMat-Bulk. Energies are from PBE.

```
Tl2SnAs
1.0
-0.6622 6.1329 2.6077
-6.5129 -0.0403 -1.5593
-4.9226 0.5032 6.1662
As Tl Sn
2 4 2
direct
0.2500 0.7500 0.5000
0.5000 0.5000 0.0000
0.1472 0.6250 0.2500
0.3750 0.3972 0.7500
0.8750 0.8528 0.7500
0.6028 0.1250 0.2500
0.0000 0.0000 0.0000
0.7500 0.2500 0.5000
```

The polymorph energy (0 for the lowest one) comes out at 234.0 meV per atom. The value obtained for the calculated formation energy is 225 meV/atom.